{"formula": "ErTlZnS3", "functional": "PBE", "state": "relaxed", "polymorph_energy_mev_per_atom": 20, "space_group": "P2_1/m", "volume_a3_per_atom": 25.63, "cell": [[8.0174, 0.0000, 0.0000], [0.0000, 3.9553, 0.0000], [-3.4816, 0.0000, 9.6994]], "species": ["Er", "Er", "Tl", "Tl", "Zn", "Zn", "S", "S", "S", "S", "S", "S"], "frac_coords": [[0.1892, 0.2500, 0.1379], [0.8108, 0.7500, 0.8621], [0.2266, 0.7500, 0.7155], [0.7734, 0.2500, 0.2845], [0.4240, 0.7500, 0.3914], [0.5760, 0.2500, 0.6086], [0.0465, 0.2500, 0.8643], [0.2816, 0.2500, 0.4345], [0.4303, 0.7500, 0.1684], [0.5697, 0.2500, 0.8316], [0.7184, 0.7500, 0.5655], [0.9535, 0.7500, 0.1357]]}